Compound: Ag5BiSe4
Source: Alexandria
Functional: PBE
Structure: relaxed

Output
The energy above the lowest structure with this stoichiometry is 5 meV per atom. The formation energy without anion corrections is -89.5 meV/atom. Its volume is 245.39 Å³/f.u. The calculation puts the raw total energy at -3.30 eV per atom. Its magnetization is 0.000 μB per cell.

```
data_Ag5BiSe4
_space_group_name_H-M_alt 'P 1'
_space_group_IT_number 1
_cell_length_a 4.370
_cell_length_b 6.854
_cell_length_c 8.670
_cell_angle_alpha 102.05
_cell_angle_beta 104.60
_cell_angle_gamma 90.00
loop_
_space_group_symop_operation_xyz
'x,y,z'
loop_
_atom_site_label
_atom_site_type_symbol
_atom_site_fract_x
_atom_site_fract_y
_atom_site_fract_z
Se1 Se 0.352 0.658 0.704
Se2 Se 0.648 0.342 0.296
Se3 Se 0.940 0.238 0.879
Se4 Se 0.060 0.762 0.121
Ag1 Ag 0.500 0.500 0.000
Ag2 Ag 0.834 0.866 0.668
Ag3 Ag 0.790 0.264 0.581
Ag4 Ag 0.166 0.134 0.332
Ag5 Ag 0.210 0.736 0.419
Bi1 Bi 0.500 0.000 0.000
```

Compound: Tb3PmPrEr
Source: Alexandria
Functional: PBE
Structure: relaxed

Output
Its volume is 197.43 Å³/f.u. The calculation puts the raw total energy at -4.55 eV per atom. Its magnetization is 0.021 μB per cell.

```
data_Tb3PmPrEr
_space_group_name_H-M_alt 'P 1'
_space_group_IT_number 1
_cell_length_a 5.946
_cell_length_b 6.323
_cell_length_c 11.900
_cell_angle_alpha 90.00
_cell_angle_beta 90.00
_cell_angle_gamma 118.05
loop_
_space_group_symop_operation_xyz
'x,y,z'
loop_
_atom_site_label
_atom_site_type_symbol
_atom_site_fract_x
_atom_site_fract_y
_atom_site_fract_z
Er1 Er 0.170 0.340 0.250
Er2 Er 0.830 0.660 0.750
Tb1 Tb 0.328 0.656 0.003
Tb2 Tb 0.174 0.347 0.750
Tb3 Tb 0.826 0.653 0.250
Tb4 Tb 0.328 0.656 0.497
Tb5 Tb 0.672 0.344 0.997
Tb6 Tb 0.672 0.344 0.503
Pr1 Pr 0.000 0.000 0.000
Pr2 Pr 0.000 0.000 0.500
Pm1 Pm 0.496 0.993 0.750
Pm2 Pm 0.504 0.007 0.250
```

Compound: Y2AlFeH
Source: Alexandria
Functional: PBE
Structure: relaxed

Output
The energy above the lowest structure with this stoichiometry is 218 meV per atom. Its volume is 86.17 Å³/f.u. The calculation puts the raw total energy at -5.72 eV per atom. Its magnetization is 0.000 μB per cell.

```
data_Y2AlFeH
_space_group_name_H-M_alt 'P 1'
_space_group_IT_number 1
_cell_length_a 4.767
_cell_length_b 3.792
_cell_length_c 4.767
_cell_angle_alpha 90.00
_cell_angle_beta 90.00
_cell_angle_gamma 90.00
loop_
_space_group_symop_operation_xyz
'x,y,z'
loop_
_atom_site_label
_atom_site_type_symbol
_atom_site_fract_x
_atom_site_fract_y
_atom_site_fract_z
H1 H 0.000 0.000 0.000
Y1 Y 0.500 0.000 0.000
Y2 Y 0.000 0.000 0.500
Al1 Al 0.000 0.500 0.000
Fe1 Fe 0.500 0.500 0.500
```

Compound: KZr2Te
Source: Alexandria
Functional: PBE
Structure: relaxed

Output
The formation energy without anion corrections is 479.6 meV/atom. Its volume is 104.61 Å³/f.u. The calculation puts the raw total energy at -4.85 eV per atom. Its magnetization is 2.504 μB per cell.

```
data_KZr2Te
_space_group_name_H-M_alt 'P 1'
_space_group_IT_number 1
_cell_length_a 5.289
_cell_length_b 5.289
_cell_length_c 5.289
_cell_angle_alpha 60.00
_cell_angle_beta 60.00
_cell_angle_gamma 60.00
loop_
_space_group_symop_operation_xyz
'x,y,z'
loop_
_atom_site_label
_atom_site_type_symbol
_atom_site_fract_x
_atom_site_fract_y
_atom_site_fract_z
K1 K 0.500 0.500 0.500
Zr1 Zr 0.000 0.000 0.000
Zr2 Zr 0.250 0.250 0.250
Te1 Te 0.750 0.750 0.750
```